A geometry-optimized Al2CdMoO8 structure. Source: Alexandria via LeMat-Bulk, functional PBE+U.

Cell lengths 4.613, 4.613, 6.355 Å; angles 90.00, 90.00, 90.79 degrees
Atoms (fractional coordinates):
Al: 0.000 0.000 0.217
Al: 0.000 0.000 0.783
Cd: 0.500 0.500 0.500
Mo: 0.500 0.500 0.000
O: 0.120 0.880 0.500
O: 0.196 0.804 0.000
O: 0.292 0.292 0.217
O: 0.292 0.292 0.783
O: 0.708 0.708 0.217
O: 0.708 0.708 0.783
O: 0.804 0.196 0.000
O: 0.880 0.120 0.500

Total magnetic moment (μB per atom): 0.00
Space-group type: Cmmm (65)
E (eV/cell): -76.20